Entry 1:
DFT (GGA-PBEsol) results for Sr3LiGa after structural relaxation.

```
Sr3LiGa
1.0
-4.913 2.842 -1.760
-2.573 -1.218 5.217
2.134 5.075 2.238
Sr Li Ga
3 1 1
direct
0.000 0.000 0.500
0.000 0.500 0.000
0.500 0.000 0.000
0.000 0.000 0.000
0.500 0.500 0.500
```

Crystal system   cubic
Formation energy from the elements   0.385 eV/atom
V   209.9 Å³/f.u.

---

Entry 2:
DFT (GGA-PBEsol) results for Sr2LiGa2 after structural relaxation.

```
Sr2LiGa2
1.0
4.117 0.000 0.000
0.000 8.418 0.000
0.000 0.000 8.418
Sr Ga Li
4 4 2
direct
0.500 0.319 0.181
0.500 0.819 0.319
0.500 0.681 0.819
0.500 0.181 0.681
0.000 0.111 0.389
0.000 0.611 0.111
0.000 0.389 0.889
0.000 0.889 0.611
0.000 0.000 0.000
0.000 0.500 0.500
```

Polymorph energy (0 for the lowest one)   0 meV/atom
Crystal system   tetragonal
Formation energy from the elements   -0.258 eV/atom
V   145.9 Å³/f.u.

---

Entry 3:
DFT (GGA-PBEsol) results for LiTaGa2W after structural relaxation.

```
LiTaGa2W
1.0
4.110 0.000 0.000
0.000 4.110 0.000
0.000 0.000 4.394
Ta W Ga Li
1 1 2 1
direct
0.500 0.500 0.500
0.000 0.000 0.500
0.000 0.500 0.000
0.500 0.000 0.000
0.000 0.000 0.000
```

Crystal system   tetragonal
Formation energy from the elements   0.825 eV/atom
V   74.2 Å³/f.u.

---

Entry 4:
DFT (GGA-PBEsol) results for Li2GaTe after structural relaxation.

```
Li2GaTe
1.0
-2.136 -1.089 4.173
-4.672 -1.151 0.083
-1.346 -4.531 0.904
Li Te Ga
2 1 1
direct
0.250 0.250 0.250
0.750 0.750 0.750
0.500 0.500 0.500
0.000 0.000 0.000
```

Polymorph energy (0 for the lowest one)   0 meV/atom
Crystal system   cubic
Formation energy (no corrections)   -0.435 eV/atom
V   78.8 Å³/f.u.